Below is a geometry-optimized Pr7Ga2Ge2 structure, with properties calculated at the GGA-PBE level.

```
11
Lattice="6.807 -0.003 -1.000 0.004 7.536 0.003 -1.422 -0.002 6.731" Properties=species:S:1:pos:R:3 pbc="T T T"
Pr 2.693 1.924 2.866
Pr 6.098 5.338 2.368
Pr 3.406 5.341 -0.498
Pr 0.000 0.000 0.000
Pr -0.710 2.192 3.366
Pr 1.983 2.190 6.232
Pr 2.695 5.606 2.868
Ge 4.494 3.764 4.782
Ge 0.895 3.767 0.952
Ga 0.934 -0.002 4.518
Ga 4.455 7.533 1.216
```

Computed properties:
- calculated volume (Å³/f.u.) = 334.56
- energy of formation from the pure elements (eV per atom) = -0.255
- E (eV/atom) = -4.69
- symmetry = No. 65
- DOS at the Fermi energy (states/eV per cell) = 12.2



Below is a geometry-optimized CsZrRu3 structure, with properties calculated at the GGA-PBE level.

```
5
Lattice="5.063 0.000 0.000 0.000 5.063 0.000 0.000 0.000 5.063" Properties=species:S:1:pos:R:3 pbc="T T T"
Ru 0.000 2.532 0.000
Ru 2.532 0.000 0.000
Ru 0.000 0.000 2.532
Zr 0.000 0.000 0.000
Cs 2.532 2.532 2.532
```

Computed properties:
- relative energy among the computed polymorphs (meV per atom) = 0
- calculated volume (Å³/f.u.) = 129.81
- energy of formation from the pure elements (eV per atom) = 1.586
- E (eV/atom) = -5.86
- symmetry = No. 221
- DOS at the Fermi energy (states/eV per cell) = 6.6



Below is a geometry-optimized ZrNi22B6 structure, with properties calculated at the GGA-PBE level.

```
29
Lattice="6.459 0.000 3.729 2.153 6.090 3.729 0.000 0.000 7.459" Properties=species:S:1:pos:R:3 pbc="T T T"
Ni 5.317 3.759 9.209
Ni 4.240 0.000 2.448
Ni 0.740 2.092 1.281
Ni 4.306 0.901 7.459
Ni 5.317 3.759 5.708
Ni 2.153 1.522 3.729
Ni 0.740 2.092 6.177
Ni 1.413 3.998 5.011
Ni 6.327 2.330 7.459
Ni 4.980 2.092 3.729
Ni 2.219 0.000 6.177
Ni 3.296 2.330 9.209
Ni 1.413 3.998 2.448
Ni 4.240 0.000 5.011
Ni 2.285 3.759 7.459
Ni 6.459 4.567 11.188
Ni 0.000 0.000 4.896
Ni 4.306 5.189 7.459
Ni 0.000 0.000 2.563
Ni 3.633 3.998 3.729
Ni 2.219 0.000 1.281
Ni 3.296 2.330 5.708
B 3.321 4.438 9.165
B 6.277 4.438 7.459
B 5.292 1.652 9.165
B 2.336 1.652 7.459
B 3.321 4.438 5.752
B 5.292 1.652 5.752
Zr 0.000 0.000 0.000
```

Computed properties:
- calculated volume (Å³/f.u.) = 293.41
- energy of formation from the pure elements (eV per atom) = -0.237
- E (eV/atom) = -6.30
- symmetry = No. 225
- DOS at the Fermi energy (states/eV per cell) = 26.0



Below is a geometry-optimized LiMg4H8 structure, with properties calculated at the GGA-PBE level.

```
13
Lattice="5.986 0.000 0.000 2.993 5.184 0.000 2.993 1.728 4.888" Properties=species:S:1:pos:R:3 pbc="T T T"
H 1.691 0.977 0.691
H 7.318 4.225 2.988
H 4.295 0.977 0.691
H 4.654 4.225 2.988
H 5.986 1.918 2.988
H 2.993 3.231 0.691
H 2.993 1.728 2.816
H 5.986 3.456 0.812
Mg 7.507 2.578 1.823
Mg 4.465 2.578 1.823
Mg 5.986 5.213 1.823
Mg 5.986 3.456 4.307
Li 8.979 5.184 3.666
```

Computed properties:
- calculated volume (Å³/f.u.) = 151.67
- E (eV/atom) = -2.79
- symmetry = No. 216
- DOS at the Fermi energy (states/eV per cell) = 2.4